Below is a relaxed structure of Ca2Sm3Ir2, with properties calculated at the PBE level.

## Properties
Its final energy is -5.61 eV/atom. As for the total magnetization: 0.00 μB/f.u.

abc: 12.4628 3.9514 9.0745
angles: 90.00 116.81 90.00
Space group C2/m (No. 12)
One atom of each set of equivalent atoms:
Ca  0.1693  0.0000  0.3072
Sm  0.0000  0.5000  0.5000
Sm  0.1208  0.5000  0.9325
Ir  0.1689  0.0000  0.7425

***

Below is a relaxed structure of CaSmIr, with properties calculated at the PBE level.

## Properties
Its energy relative to the lowest polymorph listed for this composition is 29.6 meV/atom. Its final energy is -5.65 eV/atom. As for the total magnetization: 0.00 μB/f.u.

abc: 4.0583 12.5209 6.2381
angles: 90.00 90.00 90.00
Space group Cmcm (No. 63)
One atom of each set of equivalent atoms:
Ca  0.0000  0.0000  0.0000
Sm  0.0000  0.2785  0.2500
Ir  0.0000  0.3703  0.7500

***

Below is a relaxed structure of Ca8SnIr2, with properties calculated at the PBE level.

## Properties
Its final energy is -3.76 eV/atom. As for the total magnetization: 0.00 μB/f.u.

abc: 6.7111 7.7615 8.2244
angles: 113.12 108.50 101.03
Space group P1 (No. 1)
One atom of each set of equivalent atoms:
Ca  0.0000  0.0000  0.0000
Ca  0.0122  0.4776  0.7828
Ca  0.2514  0.5396  0.2795
Ca  0.3395  0.2217  0.5439
Ca  0.3999  0.8962  0.7822
Ca  0.6296  0.5919  0.0001
Ca  0.6585  0.3304  0.2791
Ca  0.8345  0.9138  0.5435
Sn  0.4105  0.8917  0.1926
Ir  0.2623  0.2430  0.8943
Ir  0.6386  0.6191  0.6466

***

Below is a relaxed structure of CaSn2Ir, with properties calculated at the PBE level.

## Properties
Its final energy is -4.74 eV/atom. As for the total magnetization: 0.00 μB/f.u.

abc: 4.9514 4.9514 18.1264
angles: 90.00 90.00 90.00
Space group I-42d (No. 122)
One atom of each set of equivalent atoms:
Ca  0.0000  0.0000  0.0000
Sn  0.1453  0.2500  0.6250
Ir  0.0000  0.0000  0.5000

***

Below is a relaxed structure of CaSn12Ir6, with properties calculated at the PBE level.

## Properties
Its final energy is -5.56 eV/atom. As for the total magnetization: 0.00 μB/f.u.

abc: 12.8098 12.8098 9.0090
angles: 90.00 90.00 120.00
Space group R-3m (No. 166, hexagonal axes)
One atom of each set of equivalent atoms:
Ca  0.0000  0.0000  0.0000
Sn  0.0000  0.3783  0.5000
Sn  0.0851  0.1702  0.3122
Ir  0.0522  0.5261  0.2496

***

Below is a relaxed structure of CaSn3Ir2, with properties calculated at the PBE level.

## Properties
Its final energy is -5.63 eV/atom. As for the total magnetization: 0.00 μB/f.u.

abc: 17.6570 4.3710 10.8515
angles: 90.00 106.21 90.00
Space group C2/m (No. 12)
One atom of each set of equivalent atoms:
Ca  0.0000  0.0000  0.0000
Ca  0.1507  0.0000  0.6933
Sn  0.0000  0.5000  0.5000
Sn  0.0441  0.0000  0.3458
Sn  0.1252  0.5000  0.1799
Sn  0.1620  0.5000  0.9329
Sn  0.2256  0.0000  0.3799
Ir  0.0191  0.5000  0.7735
Ir  0.1404  0.5000  0.4355
Ir  0.1978  0.0000  0.1139

***

Below is a relaxed structure of Ca4Sn8Ir, with properties calculated at the PBE level.

## Properties
Its final energy is -4.20 eV/atom. As for the total magnetization: 0.00 μB/f.u.

abc: 4.5901 4.7240 16.1931
angles: 90.00 90.00 90.00
Space group Pmm2 (No. 25)
One atom of each set of equivalent atoms:
Ca  0.0000  0.0000  0.0000
Ca  0.0000  0.5000  0.4786
Ca  0.5000  0.0000  0.7857
Ca  0.5000  0.5000  0.3035
Sn  0.0000  0.0000  0.3208
Sn  0.0000  0.0000  0.6171
Sn  0.0000  0.5000  0.1500
Sn  0.0000  0.5000  0.8536
Sn  0.5000  0.0000  0.1578
Sn  0.5000  0.0000  0.4630
Sn  0.5000  0.5000  0.6173
Sn  0.5000  0.5000  0.9721
Ir  0.0000  0.5000  0.6934

***

Below is a relaxed structure of CaSn3Ir, with properties calculated at the PBE level.

## Properties
Its final energy is -2.99 eV/atom. As for the total magnetization: 0.95 μB/f.u.

abc: 5.4933 5.4933 5.4933
angles: 90.00 90.00 90.00
Space group Pm-3m (No. 221)
One atom of each set of equivalent atoms:
Ca  0.0000  0.0000  0.0000
Sn  0.0000  0.0000  0.5000
Ir  0.5000  0.5000  0.5000

***

Below is a relaxed structure of CaSn3Ir2, with properties calculated at the PBE level.

## Properties
Its final energy is -5.40 eV/atom. As for the total magnetization: 0.00 μB/f.u.

abc: 7.7269 7.7269 5.7595
angles: 90.00 90.00 120.00
Space group P-3m1 (No. 164)
One atom of each set of equivalent atoms:
Ca  0.3333  0.6667  0.1937
Sn  0.1647  0.3293  0.7545
Ir  0.0000  0.0000  0.5000
Ir  0.0000  0.5000  0.5000

***

Below is a relaxed structure of CaSn2Ir, with properties calculated at the PBE level.

## Properties
Its final energy is -5.13 eV/atom. As for the total magnetization: 0.00 μB/f.u.

abc: 4.4735 4.4735 16.5513
angles: 90.00 90.00 120.00
Space group R-3m (No. 166, hexagonal axes)
One atom of each set of equivalent atoms:
Ca  0.0000  0.0000  0.0000
Sn  0.0000  0.0000  0.2224
Ir  0.0000  0.0000  0.5000

***

Below is a relaxed structure of Ca4SnIr, with properties calculated at the PBE level.

## Properties
Its final energy is -3.96 eV/atom. As for the total magnetization: 0.00 μB/f.u.

abc: 9.1277 13.9923 6.1253
angles: 90.00 113.45 90.00
Space group C2/c (No. 15)
One atom of each set of equivalent atoms:
Ca  0.1139  0.1667  0.0644
Ca  0.2155  0.4346  0.3349
Sn  0.0000  0.3651  0.7500
Ir  0.0000  0.0016  0.2500

***

Below is a relaxed structure of CaSn2Ir, with properties calculated at the PBE level.

## Properties
Its final energy is -4.96 eV/atom. As for the total magnetization: 0.00 μB/f.u.

abc: 6.9550 6.9550 6.9550
angles: 90.00 90.00 90.00
Space group Fm-3m (No. 225)
One atom of each set of equivalent atoms:
Ca  0.0000  0.0000  0.0000
Sn  0.2500  0.2500  0.2500
Ir  0.0000  0.0000  0.5000

***

Below is a relaxed structure of CaSn3Ir, with properties calculated at the PBE level.

## Properties
Its final energy is -4.95 eV/atom. As for the total magnetization: 0.00 μB/f.u.

abc: 14.0841 6.1915 6.0217
angles: 90.00 115.16 90.00
Space group C2/m (No. 12)
One atom of each set of equivalent atoms:
Ca  0.0806  0.0000  0.3303
Sn  0.1351  0.2425  0.8845
Sn  0.1804  0.5000  0.4297
Ir  0.0000  0.5000  0.0000
Ir  0.0000  0.5000  0.5000

***

Below is a relaxed structure of CaSn2Ir, with properties calculated at the PBE level.

## Properties
Its final energy is -5.24 eV/atom. As for the total magnetization: 0.00 μB/f.u.

abc: 16.3586 7.6030 5.8617
angles: 90.00 90.00 90.00
Space group Pnma (No. 62)
One atom of each set of equivalent atoms:
Ca  0.1070  0.2500  0.2483
Ca  0.1433  0.7500  0.0206
Sn  0.0348  0.0465  0.7490
Sn  0.2128  0.5482  0.5123
Ir  0.0733  0.7500  0.5030
Ir  0.1738  0.2500  0.7623

***

Below is a relaxed structure of Ca2Sn2Ir, with properties calculated at the PBE level.

## Properties
Its energy relative to the lowest polymorph listed for this composition is 0.0 meV/atom. Its final energy is -4.71 eV/atom. As for the total magnetization: 0.00 μB/f.u.

abc: 6.4435 13.2216 6.1490
angles: 90.00 90.00 90.00
Space group Ibam (No. 72)
One atom of each set of equivalent atoms:
Ca  0.2051  0.1644  0.0000
Sn  0.1844  0.4242  0.0000
Ir  0.0000  0.0000  0.2500

***

Below is a relaxed structure of CaSn3Ir, with properties calculated at the PBE level.

## Properties
Its final energy is -4.60 eV/atom. As for the total magnetization: 0.00 μB/f.u.

abc: 5.2262 5.2262 5.2262
angles: 90.00 90.00 90.00
Space group Pm-3m (No. 221)
One atom of each set of equivalent atoms:
Ca  0.0000  0.0000  0.0000
Sn  0.0000  0.5000  0.5000
Ir  0.5000  0.5000  0.5000

***

Below is a relaxed structure of Ca2Sn4Ir3, with properties calculated at the PBE level.

## Properties
Its final energy is -5.60 eV/atom. As for the total magnetization: 0.00 μB/f.u.

abc: 5.7880 10.0954 13.7150
angles: 90.00 90.00 90.00
Space group Fmmm (No. 69)
One atom of each set of equivalent atoms:
Ca  0.0000  0.0000  0.1151
Sn  0.0000  0.1655  0.3446
Ir  0.0000  0.0000  0.5000
Ir  0.2500  0.2500  0.0000

***

Below is a relaxed structure of Ca2Sn2Ir, with properties calculated at the PBE level.

## Properties
Its energy relative to the lowest polymorph listed for this composition is 30.0 meV/atom. Its final energy is -4.68 eV/atom. As for the total magnetization: 0.00 μB/f.u.

abc: 7.1316 7.1316 4.8819
angles: 90.00 90.00 90.00
Space group P4/mbm (No. 127)
One atom of each set of equivalent atoms:
Ca  0.1726  0.3274  0.0000
Sn  0.1441  0.6441  0.5000
Ir  0.0000  0.0000  0.5000

***

Below is a relaxed structure of Ca3Sn5Ir6, with properties calculated at the PBE level.

## Properties
Its final energy is -6.06 eV/atom. As for the total magnetization: 0.00 μB/f.u.

abc: 4.3644 13.4910 10.0399
angles: 90.00 90.00 90.00
Space group Pmmn (No. 59, origin choice 2)
One atom of each set of equivalent atoms:
Ca  0.2500  0.0770  0.2488
Ca  0.2500  0.7500  0.2389
Sn  0.2500  0.0832  0.8515
Sn  0.2500  0.6323  0.5208
Sn  0.2500  0.7500  0.8533
Ir  0.2500  0.0532  0.5947
Ir  0.2500  0.2500  0.5155
Ir  0.2500  0.2500  0.9964
Ir  0.2500  0.5829  0.9994

***

Below is a relaxed structure of Ca2Sn5Ir3, with properties calculated at the PBE level.

## Properties
Its final energy is -5.55 eV/atom. As for the total magnetization: 0.00 μB/f.u.

abc: 4.4599 26.7703 7.2927
angles: 90.00 90.00 90.00
Space group Cmc2_1 (No. 36)
One atom of each set of equivalent atoms:
Ca  0.0000  0.0218  0.0000
Ca  0.0000  0.3260  0.0271
Sn  0.0000  0.0983  0.3720
Sn  0.0000  0.2057  0.8143
Sn  0.0000  0.2086  0.2423
Sn  0.0000  0.3788  0.4990
Sn  0.0000  0.4519  0.1671
Ir  0.0000  0.1060  0.7470
Ir  0.0000  0.2763  0.5288
Ir  0.0000  0.4499  0.7858